1.
A relaxed KCdOF2 crystal, computed with GGA-PBE.

Unit cell a=4.6201 b=4.6201 c=4.6733 alpha=90.00 beta=90.00 gamma=90.00
Element x y z (fractional)
K1 0.0000 0.0000 0.0000
Cd1 0.5000 0.5000 0.5000
O1 0.0000 0.0000 0.5000
F1 0.0000 0.5000 0.0000
F2 0.5000 0.0000 0.0000

Total moment   0.201 μB per atom
Fermi-level density of states   0.26 states/eV/atom
Volume   99.8 Å³/cell
Uncorrected energy   -0.105 hartree per atom


2.
A relaxed KCdOF crystal, computed with GGA-PBE.

Unit cell a=6.4070 b=6.4070 c=6.4070 alpha=32.34 beta=32.34 gamma=32.34
Element x y z (fractional)
K1 0.0000 0.0000 0.0000
Cd1 0.4861 0.4861 0.4861
O1 0.7697 0.7697 0.7697
F1 0.2422 0.2422 0.2422

Total moment   0.000 μB per atom
Volume   66.9 Å³/cell
Uncorrected energy   -0.145 hartree per atom